Density functional theory data (GGA-PBE) for a relaxed structure of Ta2NbRe.

Computed properties:
Calculated total energy ... -11.7960 eV per atom
Formation energy ... -0.24 eV/atom

Structure (POSCAR):
```
Ta2NbRe
1.0
0.000 3.245 3.245
3.245 0.000 3.245
3.245 3.245 0.000
Ta Nb Re
2 1 1
direct
0.250 0.250 0.250 Ta
0.750 0.750 0.750 Ta
0.000 0.000 0.000 Nb
0.500 0.500 0.500 Re
```